(1)
First-principles (PBE) data for an optimized crystal structure of AcTl5Rh, as listed in Alexandria via LeMat-Bulk.

Results
final energy: -3.523 eV/atom
calculated volume: 193.96 Å³ per cell
space-group type: No. 123
total magnetization: 0.0 μB per formula unit
ΔE_f: -0.195 eV per atom

a b c (Å): 4.924 4.924 8.001
angles (deg): 90.00 90.00 90.00
Fractional coordinates of all 7 atoms:
Tl 0.500 0.500 0.000
Tl 0.000 0.500 0.691
Tl 0.000 0.500 0.309
Tl 0.500 0.000 0.691
Tl 0.500 0.000 0.309
Ac 0.000 0.000 0.000
Rh 0.000 0.000 0.500

(2)
First-principles (PBE) data for an optimized crystal structure of Ac4Tl5Rh6, as listed in Alexandria via LeMat-Bulk.

Results
final energy: -5.193 eV/atom
calculated volume: 754.58 Å³ per cell
space-group type: No. 36
total magnetization: 0.0 μB per formula unit
ΔE_f: -0.368 eV per atom

a b c (Å): 4.238 11.165 16.242
angles (deg): 90.00 90.00 100.94
Fractional coordinates of all 30 atoms:
Rh 0.584 0.168 0.898
Rh 0.416 0.832 0.398
Rh 0.420 0.839 0.118
Rh 0.775 0.551 0.946
Rh 0.225 0.449 0.446
Rh 0.580 0.161 0.618
Rh 0.727 0.455 0.325
Rh 0.886 0.773 0.617
Rh 0.535 0.070 0.353
Rh 0.465 0.930 0.853
Rh 0.273 0.545 0.825
Rh 0.114 0.227 0.117
Tl 0.832 0.664 0.105
Tl 0.459 0.919 0.668
Tl 0.360 0.721 0.963
Tl 0.694 0.388 0.784
Tl 0.306 0.612 0.284
Tl 0.698 0.396 0.148
Tl 0.541 0.081 0.168
Tl 0.168 0.336 0.605
Tl 0.640 0.279 0.463
Tl 0.302 0.604 0.648
Ac 0.130 0.259 0.298
Ac 0.180 0.359 0.964
Ac 0.004 0.008 0.502
Ac 0.870 0.741 0.798
Ac 0.996 0.992 0.002
Ac 0.938 0.877 0.266
Ac 0.062 0.123 0.766
Ac 0.820 0.641 0.464

(3)
First-principles (PBE) data for an optimized crystal structure of Ac6Tl2Rh, as listed in Alexandria via LeMat-Bulk.

Results
final energy: -4.397 eV/atom
calculated volume: 708.28 Å³ per cell
space-group type: No. 14
total magnetization: 0.0 μB per formula unit
ΔE_f: -0.315 eV per atom

a b c (Å): 7.721 8.049 11.404
angles (deg): 90.00 91.90 90.00
Fractional coordinates of all 18 atoms:
Rh 0.000 0.000 0.500
Rh 0.500 0.500 0.000
Tl 0.535 0.923 0.743
Tl 0.465 0.077 0.257
Tl 0.965 0.423 0.757
Tl 0.035 0.577 0.243
Ac 0.101 0.015 0.750
Ac 0.310 0.807 0.456
Ac 0.687 0.187 0.957
Ac 0.190 0.307 0.044
Ac 0.899 0.985 0.250
Ac 0.313 0.813 0.043
Ac 0.813 0.687 0.543
Ac 0.187 0.313 0.457
Ac 0.399 0.515 0.750
Ac 0.601 0.485 0.250
Ac 0.810 0.693 0.956
Ac 0.690 0.193 0.544

(4)
First-principles (PBE) data for an optimized crystal structure of Ac2TlRh3, as listed in Alexandria via LeMat-Bulk.

Results
final energy: -5.819 eV/atom
calculated volume: 305.82 Å³ per cell
space-group type: No. 69
total magnetization: 0.0 μB per formula unit
ΔE to the lowest computed polymorph: 68 meV/atom
ΔE_f: -0.380 eV per atom

a b c (Å): 6.156 6.156 9.130
angles (deg): 108.79 108.79 92.57
Fractional coordinates of all 12 atoms:
Ac 0.244 0.244 0.000
Ac 0.750 0.250 0.500
Ac 0.250 0.750 0.500
Ac 0.756 0.756 0.000
Tl 0.662 0.662 0.324
Tl 0.338 0.338 0.676
Rh 0.157 0.683 0.840
Rh 0.172 0.172 0.343
Rh 0.317 0.843 0.160
Rh 0.828 0.828 0.657
Rh 0.843 0.317 0.160
Rh 0.683 0.157 0.840

(5)
First-principles (PBE) data for an optimized crystal structure of Ac2TlRh, as listed in Alexandria via LeMat-Bulk.

Results
final energy: -5.014 eV/atom
calculated volume: 136.61 Å³ per cell
space-group type: No. 166
total magnetization: 0.0 μB per formula unit
ΔE_f: -0.531 eV per atom

a b c (Å): 4.268 4.268 9.004
angles (deg): 76.29 76.29 60.00
Fractional coordinates of all 4 atoms:
Rh 0.000 0.000 0.000
Ac 0.732 0.732 0.804
Ac 0.268 0.268 0.196
Tl 0.500 0.500 0.500

(6)
First-principles (PBE) data for an optimized crystal structure of Ac2Tl2Rh3, as listed in Alexandria via LeMat-Bulk.

Results
final energy: -5.398 eV/atom
calculated volume: 359.00 Å³ per cell
space-group type: No. 199
total magnetization: 0.0 μB per formula unit
ΔE to the lowest computed polymorph: 0 meV/atom
ΔE_f: -0.397 eV per atom

a b c (Å): 7.755 7.755 7.755
angles (deg): 109.47 109.47 109.47
Fractional coordinates of all 14 atoms:
Ac 0.523 0.023 0.023
Ac 0.977 0.500 0.000
Ac 0.500 0.477 0.500
Ac 0.000 0.000 0.477
Rh 0.518 0.268 0.750
Rh 0.750 0.482 0.232
Rh 0.982 0.232 0.250
Rh 0.768 0.750 0.018
Rh 0.250 0.018 0.268
Rh 0.732 0.250 0.482
Tl 0.000 0.000 0.905
Tl 0.405 0.500 0.000
Tl 0.095 0.595 0.595
Tl 0.500 0.905 0.500